Record 1
Compound: Tb8Sn2Os
Source: Alexandria via LeMat-Bulk
Functional: PBE
Structure: optimized geometry

```
data_Tb8Sn2Os
_symmetry_space_group_name_H-M 'C 1 2/m 1'
_symmetry_Int_Tables_number 12
_cell_length_a 19.3334
_cell_length_b 5.0412
_cell_length_c 6.6879
_cell_angle_alpha 90.00
_cell_angle_beta 106.58
_cell_angle_gamma 90.00
loop_
_symmetry_equiv_pos_as_xyz
'x,y,z'
'-x,-y,-z'
'-x,y,-z'
'x,-y,z'
'x+1/2,y+1/2,z'
'-x+1/2,-y+1/2,-z'
'-x+1/2,y+1/2,-z'
'x+1/2,-y+1/2,z'
loop_
_atom_site_label
_atom_site_fract_x
_atom_site_fract_y
_atom_site_fract_z
Tb1 0.0192 0.0000 0.2890
Tb2 0.0887 0.5000 0.9519
Tb3 0.1453 0.5000 0.4938
Tb4 0.2177 0.0000 0.8173
Sn1 0.1802 0.0000 0.2490
Os1 0.0000 0.5000 0.5000
```

Record 2
Compound: LaPr2MnN4
Source: Alexandria via LeMat-Bulk
Functional: PBE
Structure: optimized geometry

```
data_LaPr2MnN4
_symmetry_space_group_name_H-M 'C m c m'
_symmetry_Int_Tables_number 63
_symmetry_space_group_name_Hall '-C 2c 2'
_cell_length_a 3.5426
_cell_length_b 11.9966
_cell_length_c 12.2447
_cell_angle_alpha 90.00
_cell_angle_beta 90.00
_cell_angle_gamma 90.00
loop_
_atom_site_label
_atom_site_fract_x
_atom_site_fract_y
_atom_site_fract_z
La1 0.0000 0.1037 0.2500
Pr1 0.0000 0.3685 0.0453
Mn1 0.0000 0.1696 0.7500
N1 0.0000 0.0000 0.0000
N2 0.0000 0.2737 0.6363
N3 0.0000 0.4148 0.2500
```

As for the uncorrected formation energy: -0.975 eV/atom.

| no. | uncorrected energy (eV/cell) | DOS at the Fermi energy (states/eV/cell) |
| --- | --- | --- |
| 1 | -120.352 | 18.434 |
| 2 | -259.026 | 14.727 |